Record 1
An optimized crystal structure of RbNbO4. Source: Alexandria via LeMat-Bulk, functional PBE-GGA.

Its uncorrected formation energy is -1.466 eV per atom. Its crystal system is tetragonal. For the volume, the calculation gives 14.13 A^3/atom. The value obtained for the total energy is -39.67 eV per formula unit. For the total magnetic moment, the calculation gives 1.675 μB per cell.

It has space group P4/mmm (No. 123), with a = 3.481 Å, b = 3.481 Å, c = 7.000 Å, α = 90.00°, β = 90.00° and γ = 90.00°. Symmetry generates all atoms from Rb at (0.000, 0.000, 0.000), Nb at (0.500, 0.500, 0.500) and O at (0.000, 0.500, 0.325).

---

Record 2
An optimized crystal structure of RbNbO3. Source: Alexandria via LeMat-Bulk, functional PBE-GGA.

Its uncorrected formation energy is -2.397 eV per atom. Its crystal system is monoclinic. For the volume, the calculation gives 19.14 A^3/atom. The value obtained for the total energy is -37.90 eV per formula unit. For the total magnetic moment, the calculation gives 0.000 μB per cell.

It has space group C2/m (No. 12), with a = 11.808 Å, b = 5.642 Å, c = 7.314 Å, α = 90.00°, β = 128.23° and γ = 90.00°. Symmetry generates all atoms from Rb at (0.133, 0.000, 0.383), Nb at (0.179, 0.500, 0.929), O at (0.015, 0.500, 0.264) and O at (0.250, 0.250, 0.175).

---

Record 3
An optimized crystal structure of RbNb2O7. Source: Alexandria via LeMat-Bulk, functional PBE-GGA.

Its uncorrected formation energy is -1.833 eV per atom. Its crystal system is orthorhombic. For the volume, the calculation gives 14.92 A^3/atom. The value obtained for the total energy is -74.15 eV per formula unit. For the total magnetic moment, the calculation gives 1.991 μB per cell.

It has space group Cmmm (No. 65), with a = 6.980 Å, b = 10.830 Å, c = 3.946 Å, α = 90.00°, β = 90.00° and γ = 90.00°. Symmetry generates all atoms from Rb at (0.000, 0.000, 0.000), Nb at (0.000, 0.321, 0.500), O at (0.000, 0.313, 0.000), O at (0.000, 0.500, 0.500) and O at (0.197, 0.172, 0.500).